Entry from the Open Quantum Materials Database: an optimized crystal structure of HgCl2 (GGA-PBE). Values from VASP.

E = -1.92 eV per atom

Quantum ESPRESSO input file:
```
&SYSTEM
  ibrav = 0, nat = 9, ntyp = 2
/
ATOMIC_SPECIES
Cl 35.45 Cl.upf
Hg 200.59 Hg.upf
ATOMIC_POSITIONS crystal
Cl 0.037 0.375 0.053
Cl 0.662 0.625 0.280
Cl 0.338 0.963 0.387
Cl 0.963 0.338 0.613
Cl 0.625 0.662 0.720
Cl 0.375 0.037 0.947
Hg 0.615 0.615 0.000
Hg 0.000 0.385 0.333
Hg 0.385 0.000 0.667
CELL_PARAMETERS angstrom
6.220 0.000 0.000
-3.110 5.387 0.000
0.000 0.000 8.265
```